# AlBAs2, single point on PBEsol structure, DFT meta-GGA SCAN
data_AlBAs2
_chemical_formula_sum 'Al4 B4 As8'
_space_group_name_H-M_alt 'I -4 2 d'
_space_group_IT_number 122
_space_group_name_Hall 'I -4 2bw'
_cell_length_a 5.307
_cell_length_b 5.307
_cell_length_c 10.131
_cell_angle_alpha 90.00
_cell_angle_beta 90.00
_cell_angle_gamma 90.00
loop_
_atom_site_label
_atom_site_fract_x
_atom_site_fract_y
_atom_site_fract_z
Al1 0.000 0.000 0.000
B1 0.000 0.000 0.500
As1 0.195 0.250 0.625
# magnetic moment: 0.00 μB per formula unit
# ΔE_f: -0.222 eV/atom
# crystal system: tetragonal

---

# AlHgBAs2, single point on PBEsol structure, DFT meta-GGA SCAN
data_AlHgBAs2
_chemical_formula_sum 'Al1 Hg1 B1 As2'
_space_group_name_H-M_alt 'P 4/m m m'
_space_group_IT_number 123
_space_group_name_Hall '-P 4 2'
_cell_length_a 4.528
_cell_length_b 4.528
_cell_length_c 4.185
_cell_angle_alpha 90.00
_cell_angle_beta 90.00
_cell_angle_gamma 90.00
loop_
_atom_site_label
_atom_site_fract_x
_atom_site_fract_y
_atom_site_fract_z
Al1 0.000 0.000 0.000
Hg1 0.500 0.500 0.000
B1 0.000 0.000 0.500
As1 0.000 0.500 0.500
# magnetic moment: 0.00 μB per formula unit
# ΔE_f: 0.617 eV/atom
# crystal system: tetragonal

---

# BaAl2As, single point on PBEsol structure, DFT meta-GGA SCAN
data_BaAl2As
_chemical_formula_sum 'Ba2 Al4 As2'
_space_group_name_H-M_alt 'I m m 2'
_space_group_IT_number 44
_space_group_name_Hall 'I 2 -2'
_cell_length_a 3.900
_cell_length_b 4.285
_cell_length_c 12.486
_cell_angle_alpha 90.00
_cell_angle_beta 90.00
_cell_angle_gamma 90.00
loop_
_atom_site_label
_atom_site_fract_x
_atom_site_fract_y
_atom_site_fract_z
Ba1 0.000 0.000 0.000
Al1 0.000 0.000 0.357
Al2 0.000 0.500 0.223
As1 0.000 0.500 0.719
# magnetic moment: 0.00 μB per formula unit
# ΔE_f: -0.260 eV/atom
# crystal system: orthorhombic

---

What did the first record say?
# AlBAs2, single point on PBEsol structure, DFT meta-GGA SCAN
data_AlBAs2
_chemical_formula_sum 'Al4 B4 As8'
_space_group_name_H-M_alt 'I -4 2 d'
_space_group_IT_number 122
_space_group_name_Hall 'I -4 2bw'
_cell_length_a 5.307
_cell_length_b 5.307
_cell_length_c 10.131
_cell_angle_alpha 90.00
_cell_angle_beta 90.00
_cell_angle_gamma 90.00
loop_
_atom_site_label
_atom_site_fract_x
_atom_site_fract_y
_atom_site_fract_z
Al1 0.000 0.000 0.000
B1 0.000 0.000 0.500
As1 0.195 0.250 0.625
# magnetic moment: 0.00 μB per formula unit
# ΔE_f: -0.222 eV/atom
# crystal system: tetragonal